# Mg2N PBE optimized geometry
# uncorrected energy = -4.3274 eV per atom
# M_tot = 0.00 μB/f.u.
# uncorrected formation energy = -0.49 eV/atom
data_Mg2N
_symmetry_space_group_name_H-M 'P 1'
_symmetry_Int_Tables_number 1
_symmetry_space_group_name_Hall 'P 1'
_cell_length_a 3.224
_cell_length_b 10.222
_cell_length_c 5.241
_cell_angle_alpha 90.00
_cell_angle_beta 90.00
_cell_angle_gamma 90.00
loop_
_atom_site_label
_atom_site_type_symbol
_atom_site_fract_x
_atom_site_fract_y
_atom_site_fract_z
_atom_site_occupancy
Mg1 Mg 0.000 0.000 0.000 1
Mg2 Mg 0.000 0.245 0.683 1
Mg3 Mg 0.000 0.500 0.053 1
Mg4 Mg 0.000 0.755 0.683 1
Mg5 Mg 0.500 0.000 0.553 1
Mg6 Mg 0.500 0.255 0.183 1
Mg7 Mg 0.500 0.500 0.500 1
Mg8 Mg 0.500 0.745 0.183 1
N1 N 0.000 0.354 0.347 1
N2 N 0.000 0.646 0.347 1
N3 N 0.500 0.146 0.847 1
N4 N 0.500 0.854 0.847 1